VASP calculation (PBE) on a geometry-optimized ZrTaAg3 structure.

Structure (POSCAR):
```
ZrTaAg3
1.0
-2.9530 -3.9511 0.7828
3.6780 -2.2493 2.5214
-1.6421 2.0673 4.2396
Zr Ag Ta
1 3 1
Cartesian
0.0000 0.0000 0.0000
1.8390 -1.1247 1.2607
-0.8211 1.0336 2.1198
-1.4765 -1.9755 0.3914
-0.4586 -2.0666 3.7719
```

Values from the calculation:
DFT total energy   -0.144 Ha/atom